Entry 1:
Na4Pu3AlS8 | GGA-PBE | optimized geometry

Cell and atoms, written as CIF:
```
data_Na4Pu3AlS8
_chemical_formula_sum 'Na4 Pu3 Al1 S8'
_symmetry_space_group_name_H-M 'P 1'
_symmetry_Int_Tables_number 1
_cell_length_a 8.0253
_cell_length_b 8.0253
_cell_length_c 8.0253
_cell_angle_alpha 59.06
_cell_angle_beta 59.06
_cell_angle_gamma 59.06
loop_
_symmetry_equiv_pos_as_xyz
'x,y,z'
loop_
_atom_site_label
_atom_site_fract_x
_atom_site_fract_y
_atom_site_fract_z
Na1 0.0000 0.0000 0.0000
Na2 0.0000 0.5000 0.5000
Na3 0.5000 0.0000 0.5000
Na4 0.5000 0.5000 0.0000
Pu1 0.0000 0.0000 0.5000
Pu2 0.0000 0.5000 0.0000
Pu3 0.5000 0.0000 0.0000
Al1 0.5000 0.5000 0.5000
S1 0.2426 0.2426 0.2426
S2 0.2645 0.7254 0.7254
S3 0.2746 0.2746 0.7355
S4 0.2746 0.7355 0.2746
S5 0.7254 0.2645 0.7254
S6 0.7254 0.7254 0.2645
S7 0.7355 0.2746 0.2746
S8 0.7574 0.7574 0.7574
```

Summary:
**Volume**: 357.65 Å³/cell
**Magnetization**: 14.995 μB/f.u.
**E**: -6.710 eV/atom
**Raw formation energy**: -1.40 eV/atom

Entry 2:
Bi4Pd15Pb | GGA-PBE | optimized geometry

Cell and atoms, written as CIF:
```
data_Bi4Pd15Pb
_chemical_formula_sum 'Bi4 Pd15 Pb1'
_symmetry_space_group_name_H-M 'P 1'
_symmetry_Int_Tables_number 1
_cell_length_a 4.1565
_cell_length_b 4.1565
_cell_length_c 20.4555
_cell_angle_alpha 90.00
_cell_angle_beta 90.00
_cell_angle_gamma 90.00
loop_
_symmetry_equiv_pos_as_xyz
'x,y,z'
loop_
_atom_site_label
_atom_site_fract_x
_atom_site_fract_y
_atom_site_fract_z
Bi1 0.0000 0.0000 0.1003
Bi2 0.0000 0.0000 0.3011
Bi3 0.0000 0.0000 0.6989
Bi4 0.0000 0.0000 0.8997
Pd1 0.0000 0.5000 0.0000
Pd2 0.0000 0.5000 0.2005
Pd3 0.0000 0.5000 0.4012
Pd4 0.0000 0.5000 0.5988
Pd5 0.0000 0.5000 0.7995
Pd6 0.5000 0.0000 0.0000
Pd7 0.5000 0.0000 0.2005
Pd8 0.5000 0.0000 0.4012
Pd9 0.5000 0.0000 0.5988
Pd10 0.5000 0.0000 0.7995
Pd11 0.5000 0.5000 0.1004
Pd12 0.5000 0.5000 0.3005
Pd13 0.5000 0.5000 0.5000
Pd14 0.5000 0.5000 0.6995
Pd15 0.5000 0.5000 0.8996
Pb1 0.0000 0.0000 0.5000
```

Summary:
**Energy of formation**: -5.58 kcal/mol of atoms
**Volume**: 353.40 Å³/cell
**Magnetization**: 0.000 μB/f.u.
**E**: -5.098 eV/atom

Entry 3:
PrNdTm2Se6 | GGA-PBE | optimized geometry

Cell and atoms, written as CIF:
```
data_PrNdTm2Se6
_chemical_formula_sum 'Pr1 Nd1 Tm2 Se6'
_symmetry_space_group_name_H-M 'P 1'
_symmetry_Int_Tables_number 1
_cell_length_a 7.7211
_cell_length_b 7.7211
_cell_length_c 7.7211
_cell_angle_alpha 56.63
_cell_angle_beta 56.63
_cell_angle_gamma 56.63
loop_
_symmetry_equiv_pos_as_xyz
'x,y,z'
loop_
_atom_site_label
_atom_site_fract_x
_atom_site_fract_y
_atom_site_fract_z
Pr1 0.0000 0.0000 0.0000
Nd1 0.4984 0.4984 0.4984
Tm1 0.2971 0.2971 0.2971
Tm2 0.7980 0.7980 0.7980
Se1 0.0772 0.6755 0.4215
Se2 0.1795 0.5775 0.9174
Se3 0.4214 0.0772 0.6755
Se4 0.5775 0.9174 0.1795
Se5 0.6755 0.4214 0.0772
Se6 0.9174 0.1795 0.5775
```

Summary:
**Volume**: 300.12 Å³/cell
**Magnetization**: 0.000 μB/f.u.
**E**: -5.776 eV/atom
**Raw formation energy**: -1.84 eV/atom

Entry 4:
Pm4NdPb2 | GGA-PBE | optimized geometry

Cell and atoms, written as CIF:
```
data_Pm4NdPb2
_chemical_formula_sum 'Pm4 Nd1 Pb2'
_symmetry_space_group_name_H-M 'P 1'
_symmetry_Int_Tables_number 1
_cell_length_a 7.7152
_cell_length_b 7.7152
_cell_length_c 7.7152
_cell_angle_alpha 134.01
_cell_angle_beta 134.01
_cell_angle_gamma 67.07
loop_
_symmetry_equiv_pos_as_xyz
'x,y,z'
loop_
_atom_site_label
_atom_site_fract_x
_atom_site_fract_y
_atom_site_fract_z
Pm1 0.0000 0.5000 0.5000
Pm2 0.2500 0.7500 0.5000
Pm3 0.5000 0.0000 0.5000
Pm4 0.7500 0.2500 0.5000
Nd1 0.0000 0.0000 0.0000
Pb1 0.3677 0.3677 0.0000
Pb2 0.6323 0.6323 0.0000
```

Summary:
**Energy of formation**: 0.58 kcal/mol of atoms
**Volume**: 233.68 Å³/cell
**Magnetization**: 0.000 μB/f.u.
**E**: -4.430 eV/atom

Entry 5:
Be2GeF6 | GGA-PBE | optimized geometry

Cell and atoms, written as CIF:
```
data_Be2GeF6
_chemical_formula_sum 'Be4 Ge2 F12'
_symmetry_space_group_name_H-M 'P 1'
_symmetry_Int_Tables_number 1
_cell_length_a 7.3097
_cell_length_b 7.3097
_cell_length_c 5.1074
_cell_angle_alpha 109.91
_cell_angle_beta 109.91
_cell_angle_gamma 78.86
loop_
_symmetry_equiv_pos_as_xyz
'x,y,z'
loop_
_atom_site_label
_atom_site_fract_x
_atom_site_fract_y
_atom_site_fract_z
Be1 0.0916 0.2799 0.2119
Be2 0.2799 0.0916 0.7119
Be3 0.7201 0.9084 0.2881
Be4 0.9084 0.7201 0.7881
Ge1 0.3626 0.6374 0.7500
Ge2 0.6374 0.3626 0.2500
F1 0.1418 0.7102 0.9016
F2 0.1602 0.4879 0.3469
F3 0.1653 0.1653 0.4425
F4 0.1653 0.1653 0.9425
F5 0.2898 0.8582 0.5984
F6 0.4879 0.1602 0.8469
F7 0.5121 0.8398 0.1531
F8 0.7102 0.1418 0.4016
F9 0.8347 0.8347 0.0575
F10 0.8347 0.8347 0.5575
F11 0.8398 0.5121 0.6531
F12 0.8582 0.2898 0.0984
```

Summary:
**Volume**: 240.33 Å³/cell
**Magnetization**: 0.000 μB/f.u.
**E**: -5.436 eV/atom
**Raw formation energy**: -2.85 eV/atom

Entry 6:
Rb3BiAs2O8 | GGA-PBE | optimized geometry

Cell and atoms, written as CIF:
```
data_Rb3BiAs2O8
_chemical_formula_sum 'Rb3 Bi1 As2 O8'
_symmetry_space_group_name_H-M 'P 1'
_symmetry_Int_Tables_number 1
_cell_length_a 6.0691
_cell_length_b 6.0691
_cell_length_c 8.2370
_cell_angle_alpha 90.00
_cell_angle_beta 90.00
_cell_angle_gamma 120.00
loop_
_symmetry_equiv_pos_as_xyz
'x,y,z'
loop_
_atom_site_label
_atom_site_fract_x
_atom_site_fract_y
_atom_site_fract_z
Rb1 0.0000 0.0000 0.0000
Rb2 0.3333 0.6667 0.7207
Rb3 0.6667 0.3333 0.2793
Bi1 0.0000 0.0000 0.5000
As1 0.3333 0.6667 0.2538
As2 0.6667 0.3333 0.7462
O1 0.1776 0.3552 0.3273
O2 0.1776 0.8224 0.3273
O3 0.3333 0.6667 0.0497
O4 0.3552 0.1776 0.6727
O5 0.6448 0.8224 0.3273
O6 0.6667 0.3333 0.9503
O7 0.8224 0.1776 0.6727
O8 0.8224 0.6448 0.6727
```

Summary:
**Volume**: 262.75 Å³/cell
**Magnetization**: 0.000 μB/f.u.
**E**: -5.522 eV/atom
**Raw formation energy**: -1.54 eV/atom

Entry 7:
BaMn3Pd | GGA-PBE | optimized geometry

Cell and atoms, written as CIF:
```
data_BaMn3Pd
_chemical_formula_sum 'Ba1 Mn3 Pd1'
_symmetry_space_group_name_H-M 'P 1'
_symmetry_Int_Tables_number 1
_cell_length_a 5.0390
_cell_length_b 5.0390
_cell_length_c 5.0390
_cell_angle_alpha 90.00
_cell_angle_beta 90.00
_cell_angle_gamma 90.00
loop_
_symmetry_equiv_pos_as_xyz
'x,y,z'
loop_
_atom_site_label
_atom_site_fract_x
_atom_site_fract_y
_atom_site_fract_z
Ba1 0.0000 0.0000 0.0000
Mn1 0.0000 0.5000 0.5000
Mn2 0.5000 0.0000 0.5000
Mn3 0.5000 0.5000 0.0000
Pd1 0.5000 0.5000 0.5000
```

Summary:
**Energy of formation**: 11.73 kcal/mol of atoms
**Volume**: 127.95 Å³/cell
**Magnetization**: 12.897 μB/f.u.
**E**: -6.416 eV/atom
**Polymorph energy (0 for the lowest one)**: 0.00 eV per formula unit